# 1
{"formula": "Co3S", "functional": "PBE", "state": "optimized geometry", "lattice_angstrom": [[-1.7394, 1.7394, 3.6806], [1.7394, -1.7394, 3.6806], [1.7394, 1.7394, -3.6806]], "species": ["Co", "Co", "Co", "S"], "frac_coords": [[0.2500, 0.7500, 0.5000], [0.7500, 0.2500, 0.5000], [0.5000, 0.5000, 0.0000], [0.0000, 0.0000, 0.0000]], "e_tot_ev_per_atom": -6.134, "vol_a3_per_atom": 11.14}

# 2
{"formula": "Co2S", "functional": "PBE", "state": "optimized geometry", "lattice_angstrom": [[2.7581, -3.8701, -0.7447], [-1.6983, -3.7095, -2.5485], [1.7449, -0.9010, -4.3913]], "species": ["Co", "Co", "Co", "Co", "S", "S"], "frac_coords": [[0.1250, 0.6250, 0.6250], [0.6250, 0.1250, 0.6250], [0.6250, 0.6250, 0.6250], [0.6250, 0.6250, 0.1250], [0.0000, 0.0000, 0.0000], [0.2500, 0.2500, 0.2500]], "vol_a3_per_atom": 13.12, "polymorph_energy_mev_per_atom": 570.4}

# 3
{"formula": "CoS3", "functional": "PBE", "state": "optimized geometry", "lattice_angstrom": [[7.3274, 0.0000, 0.0000], [-3.6637, 6.3457, 0.0000], [0.0000, 0.0000, 3.1394]], "species": ["S", "S", "S", "S", "S", "S", "Co", "Co"], "frac_coords": [[0.7892, 0.2108, 0.7500], [0.4215, 0.2108, 0.7500], [0.2108, 0.4215, 0.2500], [0.2108, 0.7892, 0.2500], [0.7892, 0.5785, 0.7500], [0.5785, 0.7892, 0.2500], [0.3333, 0.6667, 0.7500], [0.6667, 0.3333, 0.2500]], "e_tot_ev_per_atom": -4.689, "vol_a3_per_atom": 18.25}

# 4
{"formula": "CoS", "functional": "PBE", "state": "optimized geometry", "lattice_angstrom": [[2.8728, 0.0000, 0.0000], [0.0000, 2.8728, 0.0000], [0.0000, 0.0000, 2.8728]], "species": ["S", "Co"], "frac_coords": [[0.5000, 0.5000, 0.5000], [0.0000, 0.0000, 0.0000]], "e_tot_ev_per_atom": -5.415, "vol_a3_per_atom": 11.85}

# 5
{"formula": "CoS3", "functional": "PBE", "state": "optimized geometry", "lattice_angstrom": [[0.0000, 3.0305, 3.0305], [3.0305, 0.0000, 3.0305], [3.0305, 3.0305, 0.0000]], "species": ["Co", "S", "S", "S"], "frac_coords": [[0.7500, 0.7500, 0.7500], [0.0000, 0.0000, 0.0000], [0.5000, 0.5000, 0.5000], [0.2500, 0.2500, 0.2500]], "e_tot_ev_per_atom": -4.032, "vol_a3_per_atom": 13.92}

# 6
{"formula": "Co3S", "functional": "PBE", "state": "optimized geometry", "lattice_angstrom": [[-3.2037, -1.8869, 1.4953], [-2.9002, -1.2761, -2.4537], [-0.4965, -3.9239, -0.6451]], "species": ["Co", "Co", "Co", "S"], "frac_coords": [[0.5000, 0.5000, 0.5000], [0.2500, 0.2500, 0.2500], [0.0000, 0.0000, 0.0000], [0.7500, 0.7500, 0.7500]], "e_tot_ev_per_atom": -6.076, "vol_a3_per_atom": 11.38}

# 7
{"formula": "CoS3", "functional": "PBE", "state": "optimized geometry", "lattice_angstrom": [[1.4895, 0.1195, 6.9442], [-2.7647, 1.7989, 6.2909], [-0.2363, -3.0858, -6.3935]], "species": ["S", "S", "S", "Co"], "frac_coords": [[0.5000, 0.5000, 0.0000], [0.2500, 0.7500, 0.5000], [0.7500, 0.2500, 0.5000], [0.0000, 0.0000, 0.0000]], "e_tot_ev_per_atom": -4.426, "vol_a3_per_atom": 17.92}

# 8
{"formula": "CoS", "functional": "PBE", "state": "optimized geometry", "lattice_angstrom": [[-3.1025, -2.0441, 1.5779], [-0.4687, -1.2397, -2.5277], [2.6090, -3.1433, 1.0578]], "species": ["Co", "Co", "S", "S"], "frac_coords": [[0.2500, 0.0000, 0.2001], [0.7500, 0.0000, 0.7999], [0.7500, 0.5000, 0.2426], [0.2500, 0.5000, 0.7574]], "e_tot_ev_per_atom": -5.423, "vol_a3_per_atom": 12.15}

# 9
{"formula": "CoSb3S6", "functional": "PBE", "state": "optimized geometry", "lattice_angstrom": [[-3.8127, 5.6263, -0.3333], [1.4178, -2.7964, 6.0393], [9.7698, 6.6676, 0.7937]], "species": ["Co", "Co", "S", "S", "S", "S", "S", "S", "S", "S", "S", "S", "S", "S", "Sb", "Sb", "Sb", "Sb", "Sb", "Sb"], "frac_coords": [[0.3333, 0.6667, 0.2500], [0.6667, 0.3333, 0.7500], [0.6178, 0.6997, 0.3685], [0.0819, 0.3822, 0.3685], [0.9181, 0.3003, 0.6315], [0.9181, 0.6178, 0.8685], [0.6178, 0.9181, 0.1315], [0.3003, 0.9181, 0.3685], [0.3822, 0.3003, 0.8685], [0.6997, 0.0819, 0.8685], [0.3003, 0.3822, 0.1315], [0.6997, 0.6178, 0.6315], [0.3822, 0.0819, 0.6315], [0.0819, 0.6997, 0.1315], [0.6667, 0.3333, 0.4772], [0.3333, 0.6667, 0.5228], [0.6667, 0.3333, 0.0228], [0.3333, 0.6667, 0.9772], [0.0000, 0.0000, 0.0000], [0.0000, 0.0000, 0.5000]], "e_tot_ev_per_atom": -4.477, "vol_a3_per_atom": 23.77}

# 10
{"formula": "CoSbS", "functional": "PBE", "state": "optimized geometry", "lattice_angstrom": [[5.8355, 0.0000, 0.0000], [0.0000, 5.8355, 0.0000], [0.0000, 0.0000, 5.8355]], "species": ["Co", "Co", "Co", "Co", "Sb", "Sb", "Sb", "Sb", "S", "S", "S", "S"], "frac_coords": [[0.5195, 0.4805, 0.9805], [0.0195, 0.0195, 0.0195], [0.9805, 0.5195, 0.4805], [0.4805, 0.9805, 0.5195], [0.1285, 0.6285, 0.8715], [0.3715, 0.3715, 0.3715], [0.6285, 0.8715, 0.1285], [0.8715, 0.1285, 0.6285], [0.8772, 0.3772, 0.1228], [0.6228, 0.6228, 0.6228], [0.3772, 0.1228, 0.8772], [0.1228, 0.8772, 0.3772]], "e_tot_ev_per_atom": -5.471, "vol_a3_per_atom": 16.56}

# 11
{"formula": "CoSbS", "functional": "PBE", "state": "optimized geometry", "lattice_angstrom": [[-3.3215, -2.3155, 2.6883], [-1.4791, -3.2362, -4.6148], [2.4850, -2.4746, 0.9389]], "species": ["S", "S", "Sb", "Sb", "Co", "Co"], "frac_coords": [[0.4593, 0.6371, 0.0000], [0.5407, 0.1371, 0.5000], [0.9634, 0.8717, 0.5000], [0.0366, 0.3717, 0.0000], [0.2835, 0.9989, 0.0000], [0.7165, 0.4989, 0.5000]], "e_tot_ev_per_atom": -5.471, "vol_a3_per_atom": 17.14}

# 12
{"formula": "CoSbS", "functional": "PBE", "state": "optimized geometry", "lattice_angstrom": [[5.8296, 0.0000, 0.0000], [0.0000, 5.9605, 0.0000], [0.0000, 0.0000, 11.6638]], "species": ["S", "S", "S", "S", "S", "S", "S", "S", "Co", "Co", "Co", "Co", "Co", "Co", "Co", "Co", "Sb", "Sb", "Sb", "Sb", "Sb", "Sb", "Sb", "Sb"], "frac_coords": [[0.3653, 0.3131, 0.4351], [0.1347, 0.6869, 0.9351], [0.6347, 0.6869, 0.5649], [0.6347, 0.8131, 0.0649], [0.8653, 0.3131, 0.0649], [0.8653, 0.1869, 0.5649], [0.3653, 0.1869, 0.9351], [0.1347, 0.8131, 0.4351], [0.0148, 0.1654, 0.3849], [0.0148, 0.3346, 0.8849], [0.5148, 0.1654, 0.1151], [0.9852, 0.6654, 0.1151], [0.5148, 0.3346, 0.6151], [0.4852, 0.6654, 0.3849], [0.9852, 0.8346, 0.6151], [0.4852, 0.8346, 0.8849], [0.1194, 0.4518, 0.6802], [0.3806, 0.9518, 0.6802], [0.6194, 0.0482, 0.3198], [0.1194, 0.0482, 0.1802], [0.8806, 0.9518, 0.8198], [0.8806, 0.5482, 0.3198], [0.6194, 0.4518, 0.8198], [0.3806, 0.5482, 0.1802]], "e_tot_ev_per_atom": -5.481, "vol_a3_per_atom": 16.89}

# 13
{"formula": "ScTlCoS3", "functional": "PBE", "state": "optimized geometry", "lattice_angstrom": [[7.1116, -1.8482, 0.0000], [7.1116, 1.8482, 0.0000], [0.0000, 0.0000, 9.8530]], "species": ["Tl", "Tl", "S", "S", "S", "S", "S", "S", "Sc", "Sc", "Co", "Co"], "frac_coords": [[0.2521, 0.2521, 0.7500], [0.7478, 0.7478, 0.2500], [0.0584, 0.0584, 0.2500], [0.3805, 0.3805, 0.0617], [0.6195, 0.6195, 0.9383], [0.3805, 0.3805, 0.4383], [0.6195, 0.6195, 0.5617], [0.9416, 0.9416, 0.7500], [0.0000, 0.0000, 0.0000], [0.0000, 0.0000, 0.5000], [0.4687, 0.4687, 0.2500], [0.5313, 0.5313, 0.7500]], "vol_a3_per_atom": 21.58, "polymorph_energy_mev_per_atom": 18.6}

# 14
{"formula": "ScTlCoS3", "functional": "PBE", "state": "optimized geometry", "lattice_angstrom": [[9.8901, 0.0000, 0.0000], [0.0000, 3.7071, 0.0000], [0.0000, 0.0000, 14.2086]], "species": ["S", "S", "S", "S", "S", "S", "S", "S", "S", "S", "S", "S", "Sc", "Sc", "Sc", "Sc", "Co", "Co", "Co", "Co", "Tl", "Tl", "Tl", "Tl"], "frac_coords": [[0.5636, 0.2500, 0.8701], [0.0566, 0.7500, 0.1302], [0.5566, 0.7500, 0.3698], [0.0636, 0.2500, 0.6299], [0.7464, 0.2500, 0.1944], [0.9434, 0.2500, 0.8698], [0.2464, 0.2500, 0.3056], [0.2536, 0.7500, 0.8056], [0.4364, 0.7500, 0.1299], [0.4434, 0.2500, 0.6302], [0.7536, 0.7500, 0.6944], [0.9364, 0.7500, 0.3701], [0.0036, 0.7500, 0.7498], [0.4964, 0.2500, 0.2498], [0.5036, 0.7500, 0.7502], [0.9964, 0.2500, 0.2502], [0.7535, 0.2500, 0.7841], [0.2535, 0.2500, 0.7159], [0.7465, 0.7500, 0.2841], [0.2465, 0.7500, 0.2159], [0.7476, 0.2500, 0.5044], [0.2524, 0.7500, 0.4956], [0.7524, 0.7500, 0.0044], [0.2476, 0.2500, 0.9956]], "vol_a3_per_atom": 21.71, "polymorph_energy_mev_per_atom": 18.4}

# 15
{"formula": "ScTlCoS3", "functional": "PBE", "state": "optimized geometry", "lattice_angstrom": [[7.7380, 0.0000, 0.0000], [0.0000, 3.6906, 0.0000], [-3.3907, 0.0000, 9.4966]], "species": ["S", "S", "S", "S", "S", "S", "Co", "Co", "Tl", "Tl", "Sc", "Sc"], "frac_coords": [[0.1447, 0.2500, 0.9327], [0.7703, 0.7500, 0.6938], [0.1928, 0.7500, 0.6166], [0.8072, 0.2500, 0.3834], [0.2297, 0.2500, 0.3062], [0.8553, 0.7500, 0.0673], [0.0124, 0.2500, 0.0935], [0.9876, 0.7500, 0.9065], [0.5156, 0.2500, 0.7924], [0.4844, 0.7500, 0.2076], [0.0282, 0.7500, 0.3529], [0.9718, 0.2500, 0.6471]], "vol_a3_per_atom": 22.60, "polymorph_energy_mev_per_atom": 0.0}

# 16
{"formula": "Co2Se3S", "functional": "PBE", "state": "optimized geometry", "lattice_angstrom": [[5.6275, 0.0000, 0.0000], [0.0000, 3.3456, 0.0000], [-2.8155, 0.0000, 10.2014]], "species": ["Se", "Se", "Se", "S", "Co", "Co"], "frac_coords": [[0.1759, 0.5000, 0.8747], [0.3083, 0.5000, 0.1273], [0.6912, 0.0000, 0.8495], [0.8300, 0.0000, 0.1341], [0.4534, 0.0000, 0.0073], [0.8851, 0.5000, 0.0071]], "e_tot_ev_per_atom": -4.943, "vol_a3_per_atom": 32.01}

# 17
{"formula": "Co2Se3S", "functional": "PBE", "state": "optimized geometry", "lattice_angstrom": [[-0.4747, 5.6028, -8.3700], [-3.6097, 4.4440, -8.3003], [-1.5634, 4.4124, 3.0432]], "species": ["Se", "Se", "Se", "S", "Co", "Co"], "frac_coords": [[0.4351, 0.4351, 0.7341], [0.9218, 0.9218, 0.2708], [0.5646, 0.5646, 0.7434], [0.0704, 0.0704, 0.2640], [0.5039, 0.5039, 0.3768], [0.0043, 0.0043, 0.9549]], "e_tot_ev_per_atom": -4.945, "vol_a3_per_atom": 30.93}

# 18
{"formula": "Co3Sn2S2", "functional": "PBE", "state": "optimized geometry", "lattice_angstrom": [[1.5822, -5.1104, 0.4406], [4.6731, -1.5475, -2.1401], [4.1218, -1.2577, 3.2003]], "species": ["Co", "Co", "Co", "S", "S", "Sn", "Sn"], "frac_coords": [[0.5000, 0.0000, 0.0000], [0.0000, 0.5000, 0.0000], [0.0000, 0.0000, 0.5000], [0.2809, 0.2809, 0.2809], [0.7191, 0.7191, 0.7191], [0.5000, 0.5000, 0.5000], [0.0000, 0.0000, 0.0000]], "vol_a3_per_atom": 15.66, "polymorph_energy_mev_per_atom": 0.0}

# 19
{"formula": "Co2SnS3", "functional": "PBE", "state": "optimized geometry", "lattice_angstrom": [[-0.6767, 5.8776, -2.9830], [-2.5305, -5.7456, 2.1180], [-2.0349, 3.8968, 8.1398]], "species": ["S", "S", "S", "S", "S", "S", "Sn", "Sn", "Co", "Co", "Co", "Co"], "frac_coords": [[0.0104, 0.9896, 0.2500], [0.6167, 0.3833, 0.0101], [0.6167, 0.3833, 0.4899], [0.3833, 0.6167, 0.5101], [0.9896, 0.0104, 0.7500], [0.3833, 0.6167, 0.9899], [0.2868, 0.7132, 0.2500], [0.7132, 0.2868, 0.7500], [0.0000, 0.0000, 0.0000], [0.0000, 0.0000, 0.5000], [0.3708, 0.6292, 0.7500], [0.6292, 0.3708, 0.2500]], "e_tot_ev_per_atom": -5.401, "vol_a3_per_atom": 16.44}

# 20
{"formula": "ZnCoSnS3", "functional": "PBE", "state": "optimized geometry", "lattice_angstrom": [[-0.2681, 0.3848, -3.6116], [-6.0974, -1.9123, -1.5873], [-3.1966, 9.1834, 1.2157]], "species": ["Zn", "Zn", "Sn", "Sn", "S", "S", "S", "S", "S", "S", "Co", "Co"], "frac_coords": [[0.0000, 0.0000, 0.0000], [0.0000, 0.0000, 0.5000], [0.2346, 0.5307, 0.2500], [0.7654, 0.4693, 0.7500], [0.6309, 0.7382, 0.4357], [0.3691, 0.2618, 0.5643], [0.6309, 0.7382, 0.0643], [0.0744, 0.8512, 0.7500], [0.3691, 0.2618, 0.9357], [0.9256, 0.1488, 0.2500], [0.5252, 0.9496, 0.2500], [0.4748, 0.0504, 0.7500]], "vol_a3_per_atom": 18.82, "polymorph_energy_mev_per_atom": 0.0}

# 21
{"formula": "ZnCoSnS3", "functional": "PBE", "state": "optimized geometry", "lattice_angstrom": [[-2.0226, -5.5235, -3.1545], [-0.1611, -6.6698, -0.1973], [-7.8048, 0.0426, 4.9295]], "species": ["Co", "Co", "Zn", "Zn", "Sn", "Sn", "S", "S", "S", "S", "S", "S"], "frac_coords": [[0.0000, 0.0000, 0.0000], [0.0000, 0.0000, 0.5000], [0.4625, 0.4625, 0.2500], [0.5375, 0.5375, 0.7500], [0.2545, 0.2545, 0.7500], [0.7455, 0.7455, 0.2500], [0.0738, 0.0738, 0.2500], [0.3773, 0.3773, 0.0341], [0.6227, 0.6227, 0.5341], [0.9262, 0.9262, 0.7500], [0.3773, 0.3773, 0.4659], [0.6227, 0.6227, 0.9659]], "vol_a3_per_atom": 18.15, "polymorph_energy_mev_per_atom": 22.3}

# 22
{"formula": "Sr2CoS3", "functional": "PBE", "state": "optimized geometry", "lattice_angstrom": [[8.3621, 0.0000, 0.0000], [0.0000, 4.0749, 0.0000], [0.0000, 0.0000, 16.2391]], "species": ["Co", "Co", "Co", "Co", "S", "S", "S", "S", "S", "S", "S", "S", "S", "S", "S", "S", "Sr", "Sr", "Sr", "Sr", "Sr", "Sr", "Sr", "Sr"], "frac_coords": [[0.3749, 0.7500, 0.8663], [0.8749, 0.7500, 0.6337], [0.1251, 0.2500, 0.3663], [0.6251, 0.2500, 0.1337], [0.1781, 0.2500, 0.2274], [0.4954, 0.2500, 0.8973], [0.3219, 0.7500, 0.7274], [0.6781, 0.2500, 0.2726], [0.9954, 0.2500, 0.6027], [0.1310, 0.7500, 0.9286], [0.0046, 0.7500, 0.3973], [0.5046, 0.7500, 0.1027], [0.3690, 0.2500, 0.4286], [0.6310, 0.7500, 0.5714], [0.8219, 0.7500, 0.7726], [0.8690, 0.2500, 0.0714], [0.9154, 0.7500, 0.2133], [0.4154, 0.7500, 0.2867], [0.7501, 0.7500, 0.9568], [0.5846, 0.2500, 0.7133], [0.7499, 0.2500, 0.4568], [0.2501, 0.7500, 0.5432], [0.0846, 0.2500, 0.7867], [0.2499, 0.2500, 0.0432]], "e_tot_ev_per_atom": -5.240, "vol_a3_per_atom": 23.06}

Total magnetic moment (μB/f.u.)
4.66 4.03 0.00 0.79 1.43 4.96 2.21 0.70 0.01 0.00 0.00 0.00 2.47 2.53 0.87 0.63 0.59 0.99 0.01 2.22 1.00 3.00